A geometry-optimized SrCrO4 structure, computed with PBE with a Hubbard U.

Properties
Electronic total energy in eV/atom: -6.845
Space group: No. 14
Volume in A^3/atom: 15.01
DOS at the Fermi energy in states/eV per atom: 0.000

a = 7.5060 Å, b = 6.8383 Å, c = 8.7090 Å
α = 53.72°, β = 90.00°, γ = 90.00°
Last column: nearest neighbours and their distance in Å.
Positions (direct):
1 Sr 0.3446 0.3226 0.7742  8 O 2.61-2.75
2 Sr 0.8446 0.6774 0.7258  8 O 2.61-2.75
3 Sr 0.6554 0.6774 0.2258  8 O 2.61-2.75
4 Sr 0.1554 0.3226 0.2742  8 O 2.61-2.75
5 Cr 0.3373 0.8095 0.8028  4 O 1.66-1.68
6 Cr 0.8373 0.1905 0.6972  4 O 1.66-1.68
7 Cr 0.6627 0.1905 0.1972  4 O 1.66-1.68
8 Cr 0.1627 0.8095 0.3028  4 O 1.66-1.68
9 O 0.2836 0.0893 0.6201  1 Cr 1.66
10 O 0.7836 0.9107 0.8799  1 Cr 1.66
11 O 0.7164 0.9107 0.3799  1 Cr 1.66
12 O 0.2164 0.0893 0.1201  1 Cr 1.66
13 O 0.4966 0.6928 0.7456  1 Cr 1.67
14 O 0.9966 0.3072 0.7544  1 Cr 1.67
15 O 0.5034 0.3072 0.2544  1 Cr 1.67
16 O 0.0034 0.6928 0.2456  1 Cr 1.67
17 O 0.4026 0.8335 0.9729  1 Cr 1.66
18 O 0.9026 0.1665 0.5271  1 Cr 1.66
19 O 0.5974 0.1665 0.0271  1 Cr 1.66
20 O 0.0974 0.8335 0.4729  1 Cr 1.66
21 O 0.1629 0.6203 0.8821  1 Cr 1.68
22 O 0.6629 0.3797 0.6179  1 Cr 1.68
23 O 0.8371 0.3797 0.1179  1 Cr 1.68
24 O 0.3371 0.6203 0.3821  1 Cr 1.68